A relaxed LiReBiO6 crystal, computed with PBE-GGA.

abc: 5.1712 5.1712 4.7718
angles: 90.00 90.00 120.00
Last column: nearest neighbours and their distance in Å.
Positions (direct):
1 Li 0.0000 0.0000 0.0000  6 O 2.06
2 Re 0.6667 0.3333 0.0000  6 O 1.90
3 Bi 0.3333 0.6667 0.5000  6 O 2.27
4 O 0.3579 0.0365 0.2246  1 Re 1.90, 1 Li 2.06
5 O 0.3579 0.3214 0.7754  1 Re 1.90, 1 Li 2.06
6 O 0.6786 0.0365 0.7754  1 Re 1.90, 1 Li 2.06
7 O 0.6786 0.6421 0.2246  1 Re 1.90, 1 Li 2.06
8 O 0.9635 0.3214 0.2246  1 Re 1.90, 1 Li 2.06
9 O 0.9635 0.6421 0.7754  1 Re 1.90, 1 Li 2.06

Output
Energy relative to the elements, uncorrected, eV/atom: -1.411
V, Å³ per cell: 111
DFT total energy, eV per cell: -60.69